[1]
Nb4ReMo | PBE | relaxed

Results
The energy relative to the elements is -0.1878 eV/atom. The density of states at the Fermi level comes out at 3.47 states/eV per cell. Its symmetry is P4/mmm. For the distance to the lowest polymorph of the same formula, the calculation gives 0 meV per atom. The total magnetization is 0.0 μB per cell.

abc: 3.236 3.236 9.817
angles: 90.00 90.00 90.00
Sites, in units of the cell vectors:
Nb (0.500, 0.500, 0.161)
Nb (0.000, 0.000, 0.662)
Nb (0.000, 0.000, 0.338)
Nb (0.500, 0.500, 0.839)
Re (0.000, 0.000, 0.000)
Mo (0.500, 0.500, 0.500)


[2]
Ti3SnO | PBE | relaxed

Results
Its uncorrected formation energy is -1.16 eV per atom. The density of states at the Fermi level comes out at 4.39 states/eV per cell. Its symmetry is Pm-3m. For the distance to the lowest polymorph of the same formula, the calculation gives 10 meV per atom. The total magnetization is 2.2 μB per cell.

abc: 4.218 4.218 4.218
angles: 90.00 90.00 90.00
Site moments in Bohr magnetons follow the coordinates.
Sites, in units of the cell vectors:
Ti (0.000, 0.500, 0.000)  0.56
Ti (0.000, 0.000, 0.500)  0.59
Ti (0.500, 0.000, 0.000)  0.56
Sn (0.500, 0.500, 0.500)  0.03
O (0.000, 0.000, 0.000)  0.02


[3]
MgCdIn2Br6 | PBE | relaxed

Results
Its uncorrected formation energy is -0.90 eV per atom. The density of states at the Fermi level comes out at 0.00 states/eV per cell. Its symmetry is P4mm. The total magnetization is 0.0 μB per cell.

abc: 6.542 7.301 7.301
angles: 90.00 90.00 90.00
Sites, in units of the cell vectors:
In (0.034, 0.000, 0.500)
In (0.034, 0.500, 0.000)
Br (0.715, 0.746, 0.746)
Br (0.715, 0.254, 0.254)
Br (0.715, 0.746, 0.254)
Br (0.172, 0.000, 0.000)
Br (0.715, 0.254, 0.746)
Br (0.201, 0.500, 0.500)
Cd (0.566, 0.000, 0.000)
Mg (0.580, 0.500, 0.500)


[4]
KEu6 | PBE | relaxed

Results
The energy relative to the elements is 0.8774 eV/atom. The density of states at the Fermi level comes out at 12.12 states/eV per cell. Its symmetry is Im-3m. The total magnetization is 48.7 μB per cell.

abc: 8.406 8.406 8.406
angles: 109.47 109.47 109.47
Site moments in Bohr magnetons follow the coordinates.
Sites, in units of the cell vectors:
K (0.000, 0.000, 0.000)  0.01
Eu (0.250, 0.750, 0.500)  7.25
Eu (0.500, 0.250, 0.750)  7.25
Eu (0.250, 0.500, 0.750)  7.25
Eu (0.500, 0.750, 0.250)  7.25
Eu (0.750, 0.500, 0.250)  7.25
Eu (0.750, 0.250, 0.500)  7.25